1.
Computed, not measured: a relaxed structure of AlCoHPd2 at the GGA-PBE level of DFT.

CIF file:
```
data_AlCoHPd2
_symmetry_space_group_name_H-M 'P 4/m m m'
_symmetry_Int_Tables_number 123
_symmetry_space_group_name_Hall '-P 4 2'
_cell_length_a 3.9426
_cell_length_b 3.9426
_cell_length_c 3.6931
_cell_angle_alpha 90.00
_cell_angle_beta 90.00
_cell_angle_gamma 90.00
loop_
_atom_site_label
_atom_site_type_symbol
_atom_site_fract_x
_atom_site_fract_y
_atom_site_fract_z
Al1 Al 0.0000 0.0000 0.0000
Co1 Co 0.5000 0.5000 0.0000
H1 H 0.5000 0.5000 0.5000
Pd1 Pd 0.0000 0.5000 0.5000
```

Output
DOS at the Fermi energy: 3.544 states/eV/cell
Total DFT energy (no corrections): -26.311 eV for the cell shown

2.
Computed, not measured: a relaxed structure of AlCo2HPd at the GGA-PBE level of DFT.

CIF file:
```
data_AlCo2HPd
_symmetry_space_group_name_H-M 'P 4/m m m'
_symmetry_Int_Tables_number 123
_symmetry_space_group_name_Hall '-P 4 2'
_cell_length_a 3.5962
_cell_length_b 3.5962
_cell_length_c 4.0335
_cell_angle_alpha 90.00
_cell_angle_beta 90.00
_cell_angle_gamma 90.00
loop_
_atom_site_label
_atom_site_type_symbol
_atom_site_fract_x
_atom_site_fract_y
_atom_site_fract_z
Al1 Al 0.0000 0.0000 0.0000
Co1 Co 0.0000 0.5000 0.5000
H1 H 0.0000 0.0000 0.5000
Pd1 Pd 0.5000 0.5000 0.0000
```

Output
DOS at the Fermi energy: 4.613 states/eV/cell
ΔE to the lowest computed polymorph: 59 meV per atom
Total DFT energy (no corrections): -27.453 eV for the cell shown

3.
Computed, not measured: a relaxed structure of PmAlCo2H8 at the GGA-PBE level of DFT.

CIF file:
```
data_PmAlCo2H8
_symmetry_space_group_name_H-M 'R -3'
_symmetry_Int_Tables_number 148
_symmetry_space_group_name_Hall '-R 3'
_cell_length_a 4.3889
_cell_length_b 4.3889
_cell_length_c 16.5705
_cell_angle_alpha 90.00
_cell_angle_beta 90.00
_cell_angle_gamma 120.00
loop_
_atom_site_label
_atom_site_type_symbol
_atom_site_fract_x
_atom_site_fract_y
_atom_site_fract_z
Pm1 Pm 0.0000 0.0000 0.0000
Al1 Al 0.0000 0.0000 0.5000
Co1 Co 0.0000 0.0000 0.1967
H1 H 0.0000 0.0000 0.2973
H2 H 0.0101 0.7288 0.8832
```

Output
DOS at the Fermi energy: 5.128 states/eV/cell
Total DFT energy (no corrections): -153.996 eV for the cell shown